ErThSc5 | PBE | optimized geometry

```
data_ErThSc5
_chemical_formula_sum 'Er4 Th4 Sc20'
_cell_length_a 8.188
_cell_length_b 9.141
_cell_length_c 10.658
_cell_angle_alpha 90.00
_cell_angle_beta 110.03
_cell_angle_gamma 90.00
_symmetry_space_group_name_H-M 'C 1 2/c 1'
_symmetry_Int_Tables_number 15
_symmetry_space_group_name_Hall '-C 2yc'
loop_
_atom_site_label
_atom_site_type_symbol
_atom_site_fract_x
_atom_site_fract_y
_atom_site_fract_z
_atom_site_occupancy
Er1 Er 0.250 0.250 0.000 1
Th1 Th 0.000 0.241 0.250 1
Sc1 Sc 0.000 0.412 0.750 1
Sc2 Sc 0.122 0.075 0.662 1
Sc3 Sc 0.171 0.403 0.536 1
```

Spin magnetization: 0.000 μB/atom
Total DFT energy (no corrections): -6.138 eV/atom